Material: SiNiNO2
Method: DFT, GGA-PBEsol
State: relaxed

DOS(E_F): 3.20 states/eV/f.u.
Energy relative to the elements, uncorrected: 302 meV/atom

a b c (Å): 3.6609 3.6609 3.5983
angles (deg): 90.00 90.00 90.00
Fractional positions:
Ni (0.0000, 0.0000, 0.0000)
Si (0.5000, 0.5000, 0.5000)
O (0.0000, 0.5000, 0.0000)
O (0.5000, 0.0000, 0.0000)
N (0.0000, 0.0000, 0.5000)